1.
TaFeSi2 | GGA-PBEsol | optimized geometry

Cell and atoms, written as POSCAR:
```
TaFeSi2
1.0
3.599 0.000 0.000
0.000 3.691 0.000
0.000 0.000 3.893
Ta Fe Si
1 1 2
Cartesian
0.000 0.000 0.000 Ta
0.000 1.845 1.946 Fe
1.799 0.000 1.946 Si
1.799 1.845 0.000 Si
```

## Properties
crystal system	orthorhombic
calculated volume	12.925	A^3/atom
symmetry	Pmmm
Fermi-level density of states	0.72	states/eV per atom
formation energy from raw total energies	-0.23	eV per atom

2.
TaFe2Si | GGA-PBEsol | optimized geometry

Cell and atoms, written as POSCAR:
```
TaFe2Si
1.0
3.914 0.000 0.000
0.000 3.914 0.000
0.000 0.000 3.160
Ta Fe Si
1 2 1
Cartesian
0.000 0.000 0.000 Ta
0.000 1.957 1.580 Fe
1.957 0.000 1.580 Fe
1.957 1.957 0.000 Si
```

## Properties
crystal system	tetragonal
calculated volume	12.102	A^3/atom
symmetry	P4/mmm
Fermi-level density of states	0.62	states/eV per atom
formation energy from raw total energies	-0.41	eV per atom

3.
TbFeSi2 | GGA-PBEsol | optimized geometry

Cell and atoms, written as POSCAR:
```
TbFeSi2
1.0
1.973 -8.204 0.000
1.973 8.204 0.000
0.000 0.000 3.943
Tb Fe Si
2 2 4
Cartesian
1.973 6.427 2.957 Tb
1.973 -6.427 0.986 Tb
1.973 4.077 0.986 Fe
1.973 -4.077 2.957 Fe
1.973 3.057 2.957 Si
1.973 0.621 2.957 Si
1.973 -0.621 0.986 Si
1.973 -3.057 0.986 Si
```

## Properties
crystal system	orthorhombic
calculated volume	15.958	A^3/atom
symmetry	Cmcm
Fermi-level density of states	0.73	states/eV per atom
formation energy from raw total energies	-0.76	eV per atom

4.
TbFeSi2 | GGA-PBEsol | optimized geometry

Cell and atoms, written as POSCAR:
```
TbFeSi2
1.0
4.228 0.000 0.000
0.000 3.941 0.000
-1.886 0.000 7.635
Tb Fe Si
2 2 4
Cartesian
0.055 0.985 1.577 Tb
2.287 2.956 6.058 Tb
0.481 0.985 4.649 Fe
1.861 2.956 2.986 Fe
-0.205 2.956 3.785 Si
0.224 0.985 6.884 Si
2.118 2.956 0.751 Si
2.547 0.985 3.850 Si
```

## Properties
crystal system	monoclinic
calculated volume	15.904	A^3/atom
symmetry	P2_1/m
Fermi-level density of states	0.41	states/eV per atom
formation energy from raw total energies	-0.81	eV per atom

5.
TbFeSi | GGA-PBEsol | optimized geometry

Cell and atoms, written as POSCAR:
```
TbFeSi
1.0
3.982 0.000 0.000
0.000 3.982 0.000
0.000 0.000 6.485
Tb Fe Si
2 2 2
Cartesian
0.995 0.995 1.192 Tb
2.986 2.986 5.293 Tb
0.995 2.986 3.242 Fe
2.986 0.995 3.242 Fe
0.995 0.995 4.394 Si
2.986 2.986 2.091 Si
```

## Properties
crystal system	tetragonal
calculated volume	17.138	A^3/atom
symmetry	P4/nmm
Fermi-level density of states	1.09	states/eV per atom
formation energy from raw total energies	-0.69	eV per atom

6.
Tb2FeSi2 | GGA-PBEsol | optimized geometry

Cell and atoms, written as POSCAR:
```
Tb2FeSi2
1.0
5.223 -2.049 0.000
5.223 2.049 0.000
-4.944 0.000 8.602
Tb Fe Si
4 2 4
Cartesian
-0.827 0.000 1.488 Tb
-1.021 0.000 5.223 Tb
6.522 0.000 3.378 Tb
6.328 0.000 7.113 Tb
2.245 0.000 1.050 Fe
3.256 0.000 7.552 Fe
-1.046 0.000 8.045 Si
3.354 0.000 3.197 Si
2.147 0.000 5.405 Si
6.547 0.000 0.557 Si
```

## Properties
crystal system	monoclinic
calculated volume	18.406	A^3/atom
symmetry	C2/m
Fermi-level density of states	0.58	states/eV per atom
formation energy from raw total energies	-0.75	eV per atom

7.
Tb3Fe2Si7 | GGA-PBEsol | optimized geometry

Cell and atoms, written as POSCAR:
```
Tb3Fe2Si7
1.0
1.990 -12.162 0.000
1.990 12.162 0.000
0.000 0.000 4.046
Tb Fe Si
3 2 7
Cartesian
0.000 0.000 0.000 Tb
1.990 4.488 2.023 Tb
1.990 -4.488 2.023 Tb
1.990 9.068 0.000 Fe
1.990 -9.068 0.000 Fe
1.990 9.990 2.023 Si
1.990 6.814 0.000 Si
1.990 2.167 0.000 Si
1.990 0.000 2.023 Si
1.990 -2.167 0.000 Si
1.990 -6.814 0.000 Si
1.990 -9.990 2.023 Si
```

## Properties
crystal system	orthorhombic
calculated volume	16.324	A^3/atom
symmetry	Cmmm
Fermi-level density of states	0.50	states/eV per atom
formation energy from raw total energies	-0.71	eV per atom

8.
TbFe4Si2 | GGA-PBEsol | optimized geometry

Cell and atoms, written as POSCAR:
```
TbFe4Si2
1.0
7.007 0.000 0.000
0.000 7.007 0.000
0.000 0.000 3.677
Tb Fe Si
2 8 4
Cartesian
0.000 0.000 0.000 Tb
3.504 3.504 1.839 Tb
0.586 2.484 1.839 Fe
1.019 4.089 0.000 Fe
2.484 0.586 1.839 Fe
2.918 5.988 0.000 Fe
4.089 1.019 0.000 Fe
4.523 6.421 1.839 Fe
5.988 2.918 0.000 Fe
6.421 4.523 1.839 Fe
1.539 5.468 1.839 Si
1.964 1.964 0.000 Si
5.043 5.043 0.000 Si
5.468 1.539 1.839 Si
```

## Properties
crystal system	tetragonal
calculated volume	12.896	A^3/atom
symmetry	P4_2/mnm
Fermi-level density of states	0.74	states/eV per atom
formation energy from raw total energies	-0.51	eV per atom

9.
Tb2Fe3Si5 | GGA-PBEsol | optimized geometry

Cell and atoms, written as POSCAR:
```
Tb2Fe3Si5
1.0
10.263 0.000 0.000
0.000 10.263 0.000
0.000 0.000 5.429
Tb Fe Si
8 12 20
Cartesian
0.706 2.422 0.000 Tb
2.422 9.557 0.000 Tb
2.710 4.425 2.714 Tb
4.425 7.553 2.714 Tb
5.837 2.710 2.714 Tb
7.553 5.837 2.714 Tb
7.841 0.706 0.000 Tb
9.557 7.841 0.000 Tb
0.000 5.131 1.357 Fe
0.000 5.131 4.071 Fe
1.260 8.776 2.714 Fe
1.487 1.260 2.714 Fe
3.644 6.391 0.000 Fe
3.872 3.644 0.000 Fe
5.131 0.000 1.357 Fe
5.131 0.000 4.071 Fe
6.391 6.619 0.000 Fe
6.619 3.872 0.000 Fe
8.776 9.003 2.714 Fe
9.003 1.487 2.714 Fe
0.000 0.000 1.463 Si
0.000 0.000 3.966 Si
0.227 3.283 2.714 Si
1.825 6.957 1.357 Si
1.825 6.957 4.071 Si
1.848 4.904 0.000 Si
3.283 10.035 2.714 Si
3.306 1.825 1.357 Si
3.306 1.825 4.071 Si
4.904 8.415 0.000 Si
5.131 5.131 1.252 Si
5.131 5.131 4.177 Si
5.359 1.848 0.000 Si
6.957 8.437 1.357 Si
6.957 8.437 4.071 Si
6.979 0.227 2.714 Si
8.415 5.359 0.000 Si
8.437 3.306 1.357 Si
8.437 3.306 4.071 Si
10.035 6.979 2.714 Si
```

## Properties
crystal system	tetragonal
calculated volume	14.294	A^3/atom
symmetry	P4/mnc
Fermi-level density of states	0.54	states/eV per atom
formation energy from raw total energies	-0.79	eV per atom

10.
Fe2SiTc | GGA-PBEsol | optimized geometry

Cell and atoms, written as POSCAR:
```
Fe2SiTc
1.0
0.000 2.851 2.851
2.851 0.000 2.851
2.851 2.851 0.000
Fe Si Tc
2 1 1
Cartesian
0.000 0.000 0.000 Fe
1.425 1.425 1.425 Fe
2.851 2.851 2.851 Si
4.276 4.276 4.276 Tc
```

## Properties
crystal system	cubic
calculated volume	11.582	A^3/atom
symmetry	F-43m
Fermi-level density of states	1.02	states/eV per atom
formation energy from raw total energies	-0.28	eV per atom

11.
Fe2SiTc | GGA-PBEsol | optimized geometry

Cell and atoms, written as POSCAR:
```
Fe2SiTc
1.0
-1.448 1.971 4.011
1.448 -1.971 4.011
1.448 1.971 -4.011
Fe Si Tc
2 1 1
Cartesian
0.000 0.000 1.915 Fe
0.000 0.000 6.106 Fe
1.448 0.000 0.000 Si
0.000 1.971 0.000 Tc
```

## Properties
crystal system	orthorhombic
calculated volume	11.448	A^3/atom
symmetry	Immm
Fermi-level density of states	0.66	states/eV per atom
formation energy from raw total energies	-0.27	eV per atom

12.
Fe2SiTc | GGA-PBEsol | optimized geometry

Cell and atoms, written as POSCAR:
```
Fe2SiTc
1.0
2.661 0.000 0.000
0.000 2.661 0.000
0.000 0.000 6.223
Fe Si Tc
2 1 1
Cartesian
0.000 0.000 1.381 Fe
0.000 0.000 4.842 Fe
1.331 1.331 0.000 Si
1.331 1.331 3.111 Tc
```

## Properties
crystal system	tetragonal
calculated volume	11.018	A^3/atom
symmetry	P4/mmm
Fermi-level density of states	0.61	states/eV per atom
formation energy from raw total energies	-0.34	eV per atom

13.
Fe2SiTc | GGA-PBEsol | optimized geometry

Cell and atoms, written as POSCAR:
```
Fe2SiTc
1.0
3.758 0.000 0.000
0.000 1.307 4.755
0.000 -1.307 4.755
Fe Si Tc
2 1 1
Cartesian
0.000 0.000 0.000 Fe
1.879 0.000 3.770 Fe
0.000 0.000 2.492 Si
1.879 0.000 6.141 Tc
```

## Properties
crystal system	orthorhombic
calculated volume	11.678	A^3/atom
symmetry	Amm2
Fermi-level density of states	1.22	states/eV per atom
formation energy from raw total energies	-0.14	eV per atom

14.
Fe2SiTc | GGA-PBEsol | optimized geometry

Cell and atoms, written as POSCAR:
```
Fe2SiTc
1.0
2.920 0.000 0.000
0.000 3.936 0.000
0.000 0.000 4.045
Fe Si Tc
2 1 1
Cartesian
0.000 0.000 0.000 Fe
1.460 1.968 0.000 Fe
0.000 1.968 2.023 Si
1.460 0.000 2.023 Tc
```

## Properties
crystal system	orthorhombic
calculated volume	11.626	A^3/atom
symmetry	Pmmm
Fermi-level density of states	0.76	states/eV per atom
formation energy from raw total energies	-0.25	eV per atom

15.
FeSi2Tc | GGA-PBEsol | optimized geometry

Cell and atoms, written as POSCAR:
```
FeSi2Tc
1.0
0.000 2.912 2.912
2.912 0.000 2.912
2.912 2.912 0.000
Fe Si Tc
1 2 1
Cartesian
0.000 0.000 0.000 Fe
1.456 1.456 1.456 Si
2.912 2.912 2.912 Si
4.368 4.368 4.368 Tc
```

## Properties
crystal system	cubic
calculated volume	12.346	A^3/atom
symmetry	F-43m
Fermi-level density of states	0.96	states/eV per atom
formation energy from raw total energies	0.05	eV per atom

16.
Fe2SiTc | GGA-PBEsol | optimized geometry

Cell and atoms, written as POSCAR:
```
Fe2SiTc
1.0
2.604 -3.314 0.000
2.604 3.314 0.000
0.000 0.000 2.626
Fe Si Tc
2 1 1
Cartesian
1.302 1.657 0.000 Fe
1.302 -1.657 0.000 Fe
0.000 0.000 1.313 Si
2.604 0.000 1.313 Tc
```

## Properties
crystal system	orthorhombic
calculated volume	11.329	A^3/atom
symmetry	Cmmm
Fermi-level density of states	1.22	states/eV per atom
formation energy from raw total energies	-0.15	eV per atom

17.
FeSiTc | GGA-PBEsol | optimized geometry

Cell and atoms, written as POSCAR:
```
FeSiTc
1.0
3.941 0.000 0.000
-1.970 3.413 0.000
0.000 0.000 2.648
Fe Si Tc
1 1 1
Cartesian
0.000 0.000 0.000 Fe
0.000 2.275 0.000 Si
1.970 1.138 1.324 Tc
```

## Properties
crystal system	hexagonal
calculated volume	11.871	A^3/atom
symmetry	P-6m2
Fermi-level density of states	0.92	states/eV per atom
formation energy from raw total energies	-0.32	eV per atom

18.
FeSi2Tc | GGA-PBEsol | optimized geometry

Cell and atoms, written as POSCAR:
```
FeSi2Tc
1.0
-1.498 2.212 3.688
1.498 -2.212 3.688
1.498 2.212 -3.688
Fe Si Tc
1 2 1
Cartesian
0.000 0.000 0.000 Fe
1.498 0.000 1.749 Si
0.000 2.212 1.939 Si
0.000 0.000 3.688 Tc
```

## Properties
crystal system	orthorhombic
calculated volume	12.217	A^3/atom
symmetry	Immm
Fermi-level density of states	0.77	states/eV per atom
formation energy from raw total energies	-0.24	eV per atom

19.
FeSi2Tc | GGA-PBEsol | optimized geometry

Cell and atoms, written as POSCAR:
```
FeSi2Tc
1.0
4.013 0.000 0.000
0.000 4.013 0.000
0.000 0.000 2.881
Fe Si Tc
1 2 1
Cartesian
0.000 0.000 0.000 Fe
0.000 2.006 1.440 Si
2.006 0.000 1.440 Si
2.006 2.006 0.000 Tc
```

## Properties
crystal system	tetragonal
calculated volume	11.597	A^3/atom
symmetry	P4/mmm
Fermi-level density of states	0.74	states/eV per atom
formation energy from raw total energies	-0.50	eV per atom

20.
FeSi3Te | GGA-PBEsol | optimized geometry

Cell and atoms, written as POSCAR:
```
FeSi3Te
1.0
5.070 0.000 0.000
0.000 5.070 0.000
0.000 0.000 5.070
Fe Si Te
1 3 1
Cartesian
0.000 0.000 0.000 Fe
0.000 2.535 2.535 Si
2.535 0.000 2.535 Si
2.535 2.535 0.000 Si
2.535 2.535 2.535 Te
```

## Properties
crystal system	cubic
calculated volume	26.058	A^3/atom
symmetry	Pm-3m
Fermi-level density of states	1.35	states/eV per atom
formation energy from raw total energies	1.90	eV per atom